Dy12Ag6Ru | PBE | optimized geometry

Results
Total moment = 0.0 μB per formula unit
Uncorrected energy = -4.418 eV/atom
DFT formation energy = -0.1229 eV per atom

Unit cell a=8.0273 b=8.0273 c=8.0273 alpha=92.37 beta=92.37 gamma=92.37
Sites, in units of the cell vectors:
Dy: 0.8014 0.5574 0.4543
Dy: 0.4543 0.8014 0.5574
Dy: 0.5574 0.4543 0.8014
Dy: 0.1986 0.4426 0.5457
Dy: 0.5457 0.1986 0.4426
Dy: 0.4426 0.5457 0.1986
Dy: 0.9757 0.1061 0.3221
Dy: 0.8939 0.6779 0.0243
Dy: 0.6779 0.0243 0.8939
Dy: 0.0243 0.8939 0.6779
Dy: 0.1061 0.3221 0.9757
Dy: 0.3221 0.9757 0.1061
Ag: 0.6745 0.8707 0.2618
Ag: 0.7382 0.3255 0.1293
Ag: 0.1293 0.7382 0.3255
Ag: 0.3255 0.1293 0.7382
Ag: 0.2618 0.6745 0.8707
Ag: 0.8707 0.2618 0.6745
Ru: 0.0000 0.0000 0.0000

ReTe2Au | PBE | optimized geometry

Results
Energy relative to the lowest polymorph listed for this composition = 113.5 meV per atom
Formation energy from raw total energies = 0.38 eV/atom
Total moment = 0.0 μB per formula unit
Uncorrected energy = -5.117 eV/atom

Unit cell a=7.0057 b=7.0057 c=7.0057 alpha=153.87 beta=140.38 gamma=48.08
Sites, in units of the cell vectors:
Au: 0.7500 0.2500 0.5000
Re: 0.2500 0.7500 0.5000
Te: 0.0803 0.0803 0.0000
Te: 0.4197 0.4197 0.0000

La4TbSmDy2 | PBE | optimized geometry

Results
Total moment = 0.0 μB per formula unit
Uncorrected energy = -4.765 eV/atom
DFT formation energy = 0.0184 eV per atom

Unit cell a=5.2593 b=5.2193 c=11.3388 alpha=62.56 beta=90.00 gamma=90.00
Sites, in units of the cell vectors:
La: 0.0000 0.7513 0.7490
La: 0.0000 0.2487 0.2510
La: 0.5000 0.7481 0.2513
La: 0.5000 0.2519 0.7487
Tb: 0.0000 0.5000 0.5000
Sm: 0.5000 0.5000 0.0000
Dy: 0.0000 0.0000 0.0000
Dy: 0.5000 0.0000 0.5000

PrHo2Ir | PBE | optimized geometry

Results
Energy relative to the lowest polymorph listed for this composition = 30.0 meV per atom
Total moment = 0.0 μB per formula unit
Uncorrected energy = -6.207 eV/atom
DFT formation energy = -0.5078 eV per atom

Unit cell a=3.8754 b=6.4751 c=9.2011 alpha=90.00 beta=90.00 gamma=107.37
Sites, in units of the cell vectors:
Pr: 0.9300 0.8601 0.2500
Pr: 0.0700 0.1399 0.7500
Ho: 0.3558 0.7118 0.5670
Ho: 0.6442 0.2882 0.4330
Ho: 0.3558 0.7118 0.9330
Ho: 0.6442 0.2882 0.0670
Ir: 0.7550 0.5101 0.7500
Ir: 0.2450 0.4899 0.2500

BeZnSe2Br | PBE | optimized geometry

Results
Energy relative to the lowest polymorph listed for this composition = 0.0 meV per atom
Formation energy from raw total energies = 0.22 eV/atom
Total moment = 0.0 μB per formula unit
Uncorrected energy = -2.507 eV/atom

Unit cell a=4.7152 b=4.7152 c=4.6905 alpha=90.00 beta=90.00 gamma=90.00
Sites, in units of the cell vectors:
Be: 0.0000 0.0000 0.0000
Zn: 0.5000 0.5000 0.5000
Se: 0.0000 0.5000 0.0000
Se: 0.5000 0.0000 0.0000
Br: 0.0000 0.0000 0.5000

Cr2ReRu | PBE | optimized geometry

Results
Total moment = 0.0 μB per formula unit
Uncorrected energy = -10.153 eV/atom
DFT formation energy = 0.0893 eV per atom

Unit cell a=2.8636 b=2.8636 c=6.3783 alpha=90.00 beta=90.00 gamma=90.00
Sites, in units of the cell vectors:
Cr: 0.0000 0.0000 0.0269
Cr: 0.5000 0.5000 0.2198
Re: 0.0000 0.0000 0.4834
Ru: 0.5000 0.5000 0.7700

Ac4CdCo | PBE | optimized geometry

Results
Energy relative to the lowest polymorph listed for this composition = 150.0 meV per atom
Total moment = 0.0 μB per formula unit
Uncorrected energy = -4.042 eV/atom
DFT formation energy = 0.0340 eV per atom

Unit cell a=5.9107 b=8.1851 c=10.2731 alpha=90.00 beta=90.00 gamma=111.30
Sites, in units of the cell vectors:
Ac: 0.6351 0.7666 0.7500
Ac: 0.3649 0.2334 0.2500
Ac: 0.3675 0.2409 0.7500
Ac: 0.6325 0.7591 0.2500
Ac: 0.1626 0.8215 0.9893
Ac: 0.8374 0.1785 0.4893
Ac: 0.1626 0.8215 0.5107
Ac: 0.8374 0.1785 0.0107
Cd: 0.9950 0.4905 0.7500
Cd: 0.0050 0.5095 0.2500
Co: 0.8115 0.1339 0.7500
Co: 0.1885 0.8661 0.2500

Sm2Cu3As4Pd | PBE | optimized geometry

Results
Total moment = 0.0 μB per formula unit
Uncorrected energy = -5.204 eV/atom
DFT formation energy = -0.6526 eV per atom

Unit cell a=4.2473 b=4.2473 c=10.1608 alpha=90.00 beta=90.00 gamma=90.00
Sites, in units of the cell vectors:
Sm: 0.5000 0.0000 0.2554
Sm: 0.0000 0.5000 0.7446
Cu: 0.0000 0.0000 0.5000
Cu: 0.5000 0.0000 0.8723
Cu: 0.0000 0.5000 0.1277
As: 0.5000 0.5000 0.0000
As: 0.0000 0.0000 0.0000
As: 0.5000 0.0000 0.6409
As: 0.0000 0.5000 0.3591
Pd: 0.5000 0.5000 0.5000

PmNpCl2 | PBE | optimized geometry

Results
Formation energy from raw total energies = -0.99 eV/atom
Total moment = 4.8 μB per formula unit
Uncorrected energy = -6.338 eV/atom

Unit cell a=3.4668 b=3.4668 c=10.0290 alpha=80.05 beta=80.05 gamma=60.00
Sites, in units of the cell vectors:
Np: 0.0000 0.0000 0.0000
Cl: 0.0965 0.0965 0.7106
Cl: 0.9035 0.9035 0.2894
Pm: 0.5000 0.5000 0.5000

RhSeCl | PBE | optimized geometry

Results
Formation energy from raw total energies = 0.02 eV/atom
Total moment = 0.0 μB per formula unit
Uncorrected energy = -4.207 eV/atom

Unit cell a=4.3416 b=4.3416 c=4.3416 alpha=60.00 beta=60.00 gamma=60.00
Sites, in units of the cell vectors:
Cl: 0.5000 0.5000 0.5000
Rh: 0.2500 0.2500 0.2500
Se: 0.0000 0.0000 0.0000

AlAgOs4 | PBE | optimized geometry

Results
Total moment = 0.0 μB per formula unit
Uncorrected energy = -7.886 eV/atom
DFT formation energy = 0.6991 eV per atom

Unit cell a=5.1710 b=5.1710 c=5.1710 alpha=60.00 beta=60.00 gamma=60.00
Sites, in units of the cell vectors:
Al: 0.0000 0.0000 0.0000
Ag: 0.7500 0.7500 0.7500
Os: 0.8753 0.3749 0.3749
Os: 0.3749 0.3749 0.8753
Os: 0.3749 0.8753 0.3749
Os: 0.3749 0.3749 0.3749

TcSe2Cl | PBE | optimized geometry

Results
Energy relative to the lowest polymorph listed for this composition = 16.7 meV per atom
Formation energy from raw total energies = -0.20 eV/atom
Total moment = 0.0 μB per formula unit
Uncorrected energy = -4.999 eV/atom

Unit cell a=6.5032 b=6.5032 c=6.5209 alpha=61.21 beta=61.21 gamma=27.22
Sites, in units of the cell vectors:
Cl: 0.1550 0.1550 0.3119
Se: 0.9991 0.9991 0.9151
Se: 0.8441 0.8441 0.6521
Tc: 0.5018 0.5018 0.6210